Computed, not measured: a relaxed Cs2Cd2Cl5 crystal at the PBE level of DFT.

Cell: 5.393 5.393 10.642 Å, 90.00 90.00 90.00°
Sites, in units of the cell vectors:
Cl 0.500 0.000 0.221
Cl 0.500 0.000 0.779
Cl 0.500 0.500 0.500
Cl 0.000 0.500 0.221
Cl 0.000 0.500 0.779
Cd 0.500 0.500 0.248
Cd 0.500 0.500 0.752
Cs 0.000 0.000 0.000
Cs 0.000 0.000 0.500

Values from the calculation:
Formation energy (no corrections) = -1.368 eV per atom
Symmetry = P4/mmm, No. 123
Excess energy over the best structure of this formula in the dataset = 0.000 eV/atom
Energy = -2.787 eV per atom



Computed, not measured: a relaxed Ti2VOs crystal at the PBE level of DFT.

Cell: 3.093 4.399 4.399 Å, 90.00 90.00 90.00°
Sites, in units of the cell vectors:
Ti 0.000 0.000 0.500
Ti 0.000 0.500 0.000
Os 0.500 0.000 0.000
V 0.500 0.500 0.500

Values from the calculation:
Symmetry = P4/mmm, No. 123
DFT formation energy = -0.3473 eV per atom
Energy = -9.382 eV per atom



Computed, not measured: a relaxed La5Er3Te8 crystal at the PBE level of DFT.

Cell: 8.923 8.923 9.019 Å, 60.35 60.35 60.00°
Sites, in units of the cell vectors:
Te 0.764 0.250 0.736
Te 0.750 0.750 0.264
Te 0.250 0.764 0.736
Te 0.243 0.243 0.270
Te 0.750 0.236 0.264
Te 0.236 0.750 0.264
Te 0.757 0.757 0.730
Te 0.250 0.250 0.736
La 0.500 0.500 0.500
La 0.000 0.500 0.000
La 0.500 0.500 0.000
La 0.000 0.000 0.000
La 0.500 0.000 0.000
Er 0.000 0.500 0.500
Er 0.000 0.000 0.500
Er 0.500 0.000 0.500

Values from the calculation:
Formation energy (no corrections) = -1.448 eV per atom
Symmetry = R-3m, No. 166
Energy = -5.414 eV per atom



Computed, not measured: a relaxed CsTc2RhO8 crystal at the PBE level of DFT.

Cell: 5.381 5.381 9.015 Å, 90.00 90.00 120.00°
Sites, in units of the cell vectors:
O 0.045 0.333 0.633
O 0.333 0.667 0.893
O 0.333 0.288 0.367
O 0.667 0.333 0.107
O 0.667 0.712 0.633
O 0.712 0.045 0.367
O 0.288 0.955 0.633
O 0.955 0.667 0.367
Tc 0.333 0.667 0.699
Tc 0.667 0.333 0.301
Rh 0.000 0.000 0.500
Cs 0.000 0.000 0.000

Values from the calculation:
Formation energy (no corrections) = -1.334 eV per atom
Symmetry = P-3, No. 147
Energy = -7.051 eV per atom



Computed, not measured: a relaxed K5Na4Sn2 crystal at the PBE level of DFT.

Cell: 3.888 10.591 14.945 Å, 110.75 97.47 90.00°
Sites, in units of the cell vectors:
K 0.680 0.457 0.360
K 0.500 0.000 0.000
K 0.680 0.904 0.360
K 0.320 0.543 0.640
K 0.320 0.096 0.640
Sn 0.776 0.776 0.553
Sn 0.224 0.224 0.447
Na 0.886 0.886 0.772
Na 0.000 0.667 0.000
Na 0.000 0.333 0.000
Na 0.114 0.114 0.228

Values from the calculation:
Symmetry = Immm, No. 71
DFT formation energy = 0.0879 eV per atom
Energy = -1.618 eV per atom



Computed, not measured: a relaxed TaFeRu crystal at the PBE level of DFT.

Cell: 4.083 4.083 4.083 Å, 60.00 60.00 60.00°
Sites, in units of the cell vectors:
Ru 0.000 0.000 0.000
Fe 0.750 0.750 0.750
Ta 0.500 0.500 0.500

Values from the calculation:
Symmetry = F-43m, No. 216
DFT formation energy = 0.3552 eV per atom
Excess energy over the best structure of this formula in the dataset = 0.499 eV/atom
Energy = -9.508 eV per atom



Computed, not measured: a relaxed Ac8IrPt3Cl4 crystal at the PBE level of DFT.

Cell: 8.823 9.426 8.825 Å, 117.95 119.99 90.00°
Sites, in units of the cell vectors:
Pt 0.500 0.500 0.000
Pt 0.500 0.500 0.500
Pt 0.000 0.500 0.500
Cl 0.500 0.000 0.000
Cl 0.000 0.000 0.500
Cl 0.500 0.000 0.500
Cl 0.000 0.000 0.000
Ac 0.735 0.704 0.470
Ac 0.265 0.296 0.530
Ac 0.260 0.296 0.028
Ac 0.232 0.704 0.972
Ac 0.232 0.704 0.464
Ac 0.740 0.704 0.972
Ac 0.768 0.296 0.536
Ac 0.768 0.296 0.028
Ir 0.000 0.500 0.000

Values from the calculation:
Formation energy (no corrections) = -1.407 eV per atom
Symmetry = R-3m, No. 166
Energy = -5.609 eV per atom



Computed, not measured: a relaxed AlPtS2I crystal at the PBE level of DFT.

Cell: 5.161 5.008 5.161 Å, 90.00 90.00 90.00°
Sites, in units of the cell vectors:
S 0.500 0.000 0.000
S 0.000 0.000 0.500
Pt 0.000 0.500 0.000
Al 0.500 0.500 0.500
I 0.000 0.000 0.000

Values from the calculation:
Formation energy (no corrections) = 1.004 eV per atom
Symmetry = P4/mmm, No. 123
Energy = -2.913 eV per atom



Computed, not measured: a relaxed ZrTe2Ru crystal at the PBE level of DFT.

Cell: 4.250 3.842 6.956 Å, 89.85 90.00 90.00°
Sites, in units of the cell vectors:
Te 0.000 0.874 0.909
Te 0.500 0.376 0.346
Zr 0.000 0.375 0.614
Ru 0.500 0.875 0.631

Values from the calculation:
Formation energy (no corrections) = -0.441 eV per atom
Symmetry = Pm, No. 6
Excess energy over the best structure of this formula in the dataset = 0.028 eV/atom
Energy = -6.467 eV per atom



Computed, not measured: a relaxed PuU3Ru3 crystal at the PBE level of DFT.

Cell: 5.538 6.689 9.053 Å, 60.90 116.60 113.09°
Sites, in units of the cell vectors:
Ru 0.777 0.035 0.524
Ru 0.564 0.431 0.391
Ru 0.267 0.674 0.023
Ru 0.436 0.569 0.609
Ru 0.733 0.326 0.977
Ru 0.223 0.965 0.476
Pu 0.085 0.172 0.825
Pu 0.915 0.828 0.175
U 0.728 0.777 0.888
U 0.999 0.569 0.693
U 0.577 0.881 0.268
U 0.423 0.119 0.732
U 0.272 0.223 0.112
U 0.001 0.431 0.307

Values from the calculation:
Symmetry = P-1, No. 2
DFT formation energy = -0.1430 eV per atom
Energy = -11.004 eV per atom



Computed, not measured: a relaxed Ba4S2BrO2 crystal at the PBE level of DFT.

Cell: 4.337 9.294 9.442 Å, 123.00 103.28 90.00°
Sites, in units of the cell vectors:
Ba 0.760 0.839 0.520
Ba 0.520 0.738 0.039
Ba 0.240 0.161 0.480
Ba 0.480 0.262 0.961
S 0.093 0.568 0.186
S 0.907 0.432 0.814
Br 0.000 0.000 0.000
O 0.325 0.019 0.649
O 0.675 0.981 0.351

Values from the calculation:
Formation energy (no corrections) = -2.077 eV per atom
Symmetry = C2/m, No. 12
Energy = -5.137 eV per atom



Computed, not measured: a relaxed Ac8Cu2Ir crystal at the PBE level of DFT.

Cell: 5.492 7.325 10.068 Å, 100.59 105.83 90.00°
Sites, in units of the cell vectors:
Ir 0.500 0.000 0.000
Ac 0.338 0.030 0.677
Ac 0.794 0.658 0.587
Ac 0.587 0.425 0.173
Ac 0.662 0.970 0.323
Ac 0.413 0.575 0.827
Ac 0.965 0.208 0.930
Ac 0.035 0.792 0.070
Ac 0.206 0.342 0.413
Cu 0.808 0.251 0.616
Cu 0.192 0.749 0.384

Values from the calculation:
Symmetry = C2/m, No. 12
DFT formation energy = -0.0961 eV per atom
Excess energy over the best structure of this formula in the dataset = 0.079 eV/atom
Energy = -4.634 eV per atom